Run i
This record from the Alexandria database describes a relaxed structure of LiCuPd2. The functional is PBE.

Results
Space-group type = P4/mmm, No. 123

```
4
Lattice="3.004 0.000 0.000 0.000 4.254 0.000 0.000 0.000 4.254" Properties=species:S:1:pos:R:3 pbc="T T T"
Cu 1.502 0.000 0.000
Pd 0.000 2.127 0.000
Li 1.502 2.127 2.127
Pd 0.000 0.000 2.127
```



Run ii
This record from the Alexandria database describes a relaxed structure of LiCuPd2. The functional is PBE.

Results
Space-group type = Fm-3m, No. 225

```
4
Lattice="-2.552 -2.274 -2.535 -4.217 0.130 0.557 -2.464 1.969 -2.858" Properties=species:S:1:pos:R:3 pbc="T T T"
Cu -4.617 -0.088 -2.418
Pd -6.925 -0.131 -3.627
Pd -2.308 -0.044 -1.209
Li 0.000 0.000 0.000
```



Run iii
This record from the Alexandria database describes a relaxed structure of LiCuPd2. The functional is PBE.

Results
Space-group type = I-42d, No. 122

```
8
Lattice="3.775 0.000 0.000 0.000 3.775 0.000 1.887 1.887 8.725" Properties=species:S:1:pos:R:3 pbc="T T T"
Pd 2.828 0.944 2.181
Pd 2.831 2.834 6.544
Cu 0.000 0.000 0.000
Cu 3.775 1.887 4.362
Pd 4.718 4.715 6.544
Li 1.887 3.775 4.362
Pd 0.947 2.831 2.181
Li 1.887 1.887 0.000
```



Short version: run i is the most stable of them.



Run i
This record from the Alexandria database describes a relaxed structure of Li2Cu2Pd3. The functional is PBE.

Results
Space-group type = I2_13, No. 199

```
14
Lattice="0.526 2.223 -5.867 -3.501 -5.233 -0.045 -2.750 4.333 3.648" Properties=species:S:1:pos:R:3 pbc="T T T"
Cu -0.854 1.370 -3.375
Pd -2.082 -0.751 -0.133
Li -4.258 -1.425 -1.150
Cu -1.327 -0.827 -4.744
Li -1.540 -1.730 -2.361
Pd -4.592 0.930 -0.398
Cu -0.838 1.321 1.112
Pd -2.154 3.579 0.824
Cu -2.179 1.683 -1.123
Pd -2.244 3.672 -2.976
Li -3.705 -0.316 1.572
Pd -2.964 -3.437 -1.229
Pd -3.136 -0.023 -2.881
Li -2.471 3.894 3.278
```



Run ii
This record from the Alexandria database describes a relaxed structure of Li2Cu2Pd3. The functional is PBE.

Results
Space-group type = C2/m, No. 12

```
7
Lattice="-0.300 2.400 -1.188 -5.787 -1.918 -2.412 0.160 1.709 6.469" Properties=species:S:1:pos:R:3 pbc="T T T"
Cu -3.873 1.974 1.912
Pd -4.621 -0.220 0.723
Li -5.251 -0.120 -1.971
Pd -1.306 2.411 2.147
Pd -2.893 -0.959 -1.206
Cu -2.054 0.217 0.958
Li -0.677 2.311 4.841
```



Short version: run i is the most stable of them.



Run i
This record from the Alexandria database describes a relaxed structure of Li2Cu2Pd5. The functional is PBE.

Results
Space-group type = C2/m, No. 12

```
9
Lattice="-3.106 0.573 2.151 -3.697 -2.607 -1.249 -0.115 -6.568 4.975" Properties=species:S:1:pos:R:3 pbc="T T T"
Pd -4.423 -4.674 5.039
Cu -2.774 -6.815 4.596
Pd -5.434 -7.012 4.202
Pd -2.495 -3.929 0.838
Pd 0.000 0.000 0.000
Li -2.948 -3.119 3.361
Cu -4.143 -1.787 1.281
Pd -1.484 -1.590 1.675
Li -3.969 -5.483 2.516
```



Run ii
This record from the Alexandria database describes a relaxed structure of Li2Cu2Pd5. The functional is PBE.

Results
Space-group type = Ima2, No. 46

```
18
Lattice="6.115 0.000 0.000 0.000 5.525 0.000 -3.057 -2.763 7.577" Properties=species:S:1:pos:R:3 pbc="T T T"
Pd -1.526 -1.174 5.940
Pd 1.528 1.586 2.382
Li 0.758 2.968 0.656
Cu 3.057 2.974 0.000
Pd 1.529 -1.176 5.195
Li 0.758 2.968 6.921
Pd -1.531 1.588 5.940
Cu 0.000 0.212 0.000
Cu 3.263 2.967 3.789
Pd 3.436 0.205 3.789
Li 2.299 0.206 6.921
Li 2.299 0.206 0.656
Cu -0.205 0.204 3.789
Pd 1.529 4.349 2.382
Pd 4.588 4.351 1.638
Pd 4.584 1.588 1.638
Pd 1.528 1.586 5.195
Pd -0.379 2.967 3.789
```



Short version: run i is the most stable of them.



Run i
This record from the Alexandria database describes a relaxed structure of Li2Cu5Pd4. The functional is PBE.

Results
Space-group type = P-1, No. 2

```
11
Lattice="3.896 0.018 -1.111 -0.164 5.304 -0.491 -0.032 -0.295 7.092" Properties=species:S:1:pos:R:3 pbc="T T T"
Li 2.209 2.357 0.355
Cu 0.809 3.212 2.803
Li 1.491 2.669 5.135
Cu 3.584 1.266 5.072
Pd 0.433 1.006 1.493
Pd 3.267 4.021 3.997
Pd 1.200 0.402 4.109
Pd 2.500 4.625 1.382
Cu 2.891 1.815 2.687
Cu 0.116 3.761 0.418
Cu 1.948 0.009 -0.556
```



Run ii
This record from the Alexandria database describes a relaxed structure of Li2Cu5Pd4. The functional is PBE.

Results
Space-group type = C2/m, No. 12

```
11
Lattice="2.677 0.000 0.000 0.000 6.359 -1.354 -1.339 -3.462 9.698" Properties=species:S:1:pos:R:3 pbc="T T T"
Pd 0.000 4.474 -0.161
Li 0.000 0.409 7.368
Pd 0.000 0.463 4.876
Cu 1.339 -1.581 5.943
Cu 0.000 4.478 2.401
Pd 1.339 -1.577 8.505
Cu 0.000 0.446 2.248
Cu 1.339 0.000 0.000
Li 1.339 2.489 0.976
Cu 1.339 2.451 6.097
Pd 1.339 2.435 3.468
```



Short version: run i is the most stable of them.



Run i
This record from the Alexandria database describes a relaxed structure of Li2CuPd6. The functional is PBE.

Results
Space-group type = C2/m, No. 12

```
9
Lattice="-1.275 3.653 1.145 -3.053 0.455 -4.850 -2.632 -4.614 4.631" Properties=species:S:1:pos:R:3 pbc="T T T"
Cu 0.000 0.000 0.000
Li -3.185 -1.697 1.846
Li -3.774 1.191 -0.920
Pd -3.065 0.018 3.614
Pd -4.573 0.243 1.218
Pd -2.387 -0.748 -0.292
Pd -3.895 -0.524 -2.687
Pd -2.901 2.164 -3.023
Pd -1.427 1.944 -0.682
```



Run ii
This record from the Alexandria database describes a relaxed structure of Li2CuPd6. The functional is PBE.

Results
Space-group type = C2/m, No. 12

```
9
Lattice="-1.065 5.008 1.695 -0.934 -1.901 5.030 4.733 2.325 -1.203" Properties=species:S:1:pos:R:3 pbc="T T T"
Li 0.046 -0.073 2.942
Pd 3.487 3.378 3.485
Pd 0.366 2.989 5.615
Pd 0.826 3.924 3.142
Pd 2.367 2.443 -0.093
Pd 1.908 1.508 2.380
Pd 3.980 4.380 0.834
Li 2.688 5.506 2.580
Cu 0.000 0.000 0.000
```



Short version: run ii is the most stable of them.



Run i
This record from the Alexandria database describes a relaxed structure of Li5CuPd4. The functional is PBE.

Results
Space-group type = C2/m, No. 12

```
10
Lattice="4.045 0.000 -1.387 -0.463 4.983 -1.352 0.058 0.002 6.762" Properties=species:S:1:pos:R:3 pbc="T T T"
Li 1.791 2.491 -1.369
Li 1.144 0.967 3.335
Pd 2.723 1.489 1.350
Pd 3.650 0.547 4.054
Li 0.251 1.915 0.731
Cu 2.022 0.000 -0.693
Li 2.496 4.018 0.688
Pd 0.916 3.496 2.673
Li 3.389 3.070 3.293
Pd -0.011 4.438 -0.031
```



Run ii
This record from the Alexandria database describes a relaxed structure of Li5CuPd4. The functional is PBE.

Results
Space-group type = P4/mmm, No. 123

```
10
Lattice="3.030 0.000 0.000 0.000 3.030 0.000 0.000 0.000 14.515" Properties=species:S:1:pos:R:3 pbc="T T T"
Li 1.515 1.515 10.204
Pd 0.000 0.000 8.742
Cu 0.000 0.000 0.000
Pd 0.000 0.000 11.718
Pd 0.000 0.000 5.774
Li 1.515 1.515 4.312
Li 1.515 1.515 7.258
Pd 0.000 0.000 2.797
Li 1.515 1.515 13.088
Li 1.515 1.515 1.428
```



Short version: run i is the most stable of them.



Run i
This record from the Alexandria database describes a relaxed structure of Li8Cu2Pd. The functional is PBE.

Results
Space-group type = C2/m, No. 12

```
11
Lattice="4.816 0.081 -0.277 -0.172 4.726 -1.600 0.230 -0.117 7.418" Properties=species:S:1:pos:R:3 pbc="T T T"
Cu 2.069 3.480 2.268
Li 0.300 2.779 0.387
Li 4.574 1.911 5.155
Cu 2.805 1.210 3.274
Pd 0.000 0.000 0.000
Li 0.437 0.883 2.560
Li 2.738 1.571 0.658
Li 2.136 3.120 4.883
Li 2.227 0.631 5.726
Li 4.437 3.808 2.982
Li 2.648 4.059 -0.184
```



Run ii
This record from the Alexandria database describes a relaxed structure of Li8Cu2Pd. The functional is PBE.

Results
Space-group type = C2/m, No. 12

```
11
Lattice="3.979 0.000 0.000 0.000 5.881 0.509 -1.990 -2.015 6.825" Properties=species:S:1:pos:R:3 pbc="T T T"
Li 0.000 1.599 5.772
Li 1.990 4.593 2.961
Pd 1.990 0.000 0.000
Li 0.000 -0.728 4.372
Cu 1.990 1.148 3.877
Li 0.000 4.206 1.053
Li 1.990 3.286 5.355
Li 1.990 -0.341 6.281
Li 0.000 0.579 1.979
Cu 0.000 2.717 3.457
Li 1.990 2.266 1.562
```



Short version: run ii is the most stable of them.



Run i
This record from the Alexandria database describes a relaxed structure of LiCu4Pd2. The functional is PBE.

Results
Space-group type = Cc, No. 9

```
14
Lattice="4.509 0.182 -1.064 -2.152 3.966 -1.064 0.803 1.414 10.057" Properties=species:S:1:pos:R:3 pbc="T T T"
Cu -0.214 1.328 2.835
Cu 2.739 2.607 8.602
Pd 1.749 1.089 1.123
Cu 4.214 1.320 4.511
Pd 2.107 1.820 6.152
Cu 3.194 3.923 5.254
Pd 0.954 3.564 1.867
Li 2.220 3.916 -2.005
Li -0.216 3.491 4.088
Cu 2.997 3.100 0.226
Cu 0.240 2.643 -0.517
Cu 2.100 2.035 3.573
Pd 0.131 2.223 7.960
Cu 1.164 4.223 6.799
```



Run ii
This record from the Alexandria database describes a relaxed structure of LiCu4Pd2. The functional is PBE.

Results
Space-group type = Cmcm, No. 63

```
14
Lattice="4.198 0.000 0.000 -2.099 3.650 0.000 0.000 0.000 12.667" Properties=species:S:1:pos:R:3 pbc="T T T"
Pd 0.000 1.220 0.740
Cu 2.099 2.404 9.500
Li 2.099 0.024 3.167
Pd 0.000 1.220 5.593
Cu 0.000 1.198 10.757
Cu 0.000 1.198 8.244
Cu 2.099 0.000 0.000
Pd 2.099 2.430 7.073
Pd 2.099 2.430 11.927
Cu 2.099 0.000 6.333
Cu 2.099 2.452 4.423
Li 0.000 3.626 9.500
Cu 2.099 2.452 1.910
Cu 0.000 1.245 3.167
```



Short version: run ii is the most stable of them.



Run i
This record from the Alexandria database describes a relaxed structure of LiCu6Pd2. The functional is PBE.

Results
Space-group type = C2/m, No. 12

```
18
Lattice="-2.291 -1.569 15.713 2.337 -1.660 10.622 -0.984 2.831 10.586" Properties=species:S:1:pos:R:3 pbc="T T T"
Cu -1.254 -0.760 21.241
Cu -0.357 -2.073 19.327
Cu 0.787 -1.288 11.472
Cu -1.725 0.890 25.450
Pd -0.758 -0.340 27.514
Cu -0.110 0.027 13.384
Cu 0.151 -1.648 25.472
Cu -0.828 -0.426 23.538
Pd 0.388 0.444 19.657
Pd -0.180 -0.058 9.408
Cu -0.580 1.674 17.595
Li -1.556 2.437 14.515
Cu 0.316 0.361 15.681
Pd -1.326 -0.843 17.265
Li 0.618 -2.836 22.407
Cu -1.088 1.249 11.450
Cu -2.235 0.463 19.308
Cu 1.297 -0.862 17.614
```



Run ii
This record from the Alexandria database describes a relaxed structure of LiCu6Pd2. The functional is PBE.

Results
Space-group type = C2/m, No. 12

```
9
Lattice="5.661 -0.016 -0.010 0.032 4.910 0.007 0.032 2.452 4.254" Properties=species:S:1:pos:R:3 pbc="T T T"
Li 0.000 0.000 0.000
Pd 0.555 2.451 1.419
Cu 1.882 4.901 1.450
Cu 3.820 1.246 0.721
Cu 3.844 2.445 2.801
Cu 1.905 6.100 3.530
Pd 5.170 4.894 2.832
Cu 1.882 3.699 3.527
Cu 3.844 3.647 0.724
```



Short version: run i is the most stable of them.



Run i
This record from the Alexandria database describes a relaxed structure of LiCu2Pd8. The functional is PBE.

Results
Space-group type = C2/m, No. 12

```
11
Lattice="-2.020 3.330 2.392 -5.544 -2.705 1.868 1.891 -1.194 6.045" Properties=species:S:1:pos:R:3 pbc="T T T"
Pd -5.076 0.670 4.109
Pd -2.772 1.972 4.220
Li 0.000 0.000 0.000
Pd -2.902 -2.542 6.085
Pd -4.477 -2.027 4.017
Pd -1.197 1.458 6.288
Pd -0.598 -1.239 6.196
Pd -2.143 -0.626 4.041
Pd -3.531 0.057 6.265
Cu -1.459 1.084 2.204
Cu -4.215 -1.653 8.101
```



Run ii
This record from the Alexandria database describes a relaxed structure of LiCu2Pd8. The functional is PBE.

Results
Space-group type = C2/m, No. 12

```
11
Lattice="-1.187 -0.776 3.618 4.369 -4.366 0.496 3.492 6.312 0.413" Properties=species:S:1:pos:R:3 pbc="T T T"
Pd 1.641 0.809 0.712
Pd 4.455 -2.229 3.070
Pd 2.220 3.399 1.457
Pd 1.950 -1.250 2.458
Pd 4.725 2.420 2.069
Pd 3.463 -2.638 0.570
Li -0.593 -0.388 1.809
Pd 3.212 3.808 3.958
Cu 2.577 1.252 3.201
Cu 4.098 -0.082 1.326
Pd 5.034 0.361 3.815
```



Short version: run ii is the most stable of them.